# RbVSn3

Crystalline RbVSn3 at its relaxed geometry (PBE, Alexandria via LeMat-Bulk).

Values from the calculation:
N(E_F)   1.986 states/eV/cell
Calculated density   5.63 g/cm3
Formation energy   -0.035 eV per atom
Distance to the lowest polymorph of the same formula   0 meV/atom

a = 5.256 Å, b = 5.256 Å, c = 5.256 Å
α = 90.00°, β = 90.00°, γ = 90.00°
Space group Pm-3m (No. 221)
Symmetry-distinct sites (fractional):
Rb (0.000, 0.000, 0.000) x1
V (0.500, 0.500, 0.500) x1
Sn (0.000, 0.500, 0.500) x3



# AlRuBr2

Crystalline AlRuBr2 at its relaxed geometry (PBE, Alexandria via LeMat-Bulk).

Values from the calculation:
Uncorrected formation energy   2.1 eV per formula unit
N(E_F)   13.307 states/eV/cell
Calculated density   5.67 g/cm3
Distance to the lowest polymorph of the same formula   725 meV/atom

a = 3.1578 Å, b = 3.1578 Å, c = 29.2819 Å
α = 90.00°, β = 90.00°, γ = 120.00°
Space group R-3m (No. 166, hexagonal axes)
Symmetry-distinct sites (fractional):
Al (0.0000, 0.0000, 0.0000) x3
Ru (0.0000, 0.0000, 0.5000) x3
Br (0.0000, 0.0000, 0.4189) x6



no.,VASP energy (Ha/atom)
1,-0.16367
2,-0.13133